(1)
A relaxed structure of RbSn3Te6Pb2. Source: the Alexandria database, functional PBE-GGA.

Output
**Total moment**: 0.00 μB/cell
**D(E_F)**: 0.463 states/eV/atom
**Raw formation energy**: -0.39 eV/atom
**Calculated density**: 6.29 Mg/m³

Unit cell a=10.3352 b=10.3352 c=9.5777 alpha=101.35 beta=101.35 gamma=25.27
Positions (direct):
1 Rb 0.0000 0.0000 0.0000
2 Sn 0.0000 0.0000 0.5000
3 Sn 0.3346 0.3346 0.1768
4 Sn 0.6654 0.6654 0.8232
5 Te 0.1598 0.1598 0.5963
6 Te 0.1806 0.1806 0.0987
7 Te 0.4906 0.4906 0.7132
8 Te 0.5094 0.5094 0.2868
9 Te 0.8194 0.8194 0.9013
10 Te 0.8402 0.8402 0.4037
11 Pb 0.3307 0.3307 0.6718
12 Pb 0.6693 0.6693 0.3282

(2)
A relaxed structure of AlGaS4. Source: the Alexandria database, functional PBE-GGA.

Output
**Total moment**: 0.00 μB/cell
**Raw formation energy**: -0.54 eV/atom
**Calculated density**: 3.22 Mg/m³

Unit cell a=4.9683 b=3.5167 c=6.7307 alpha=90.00 beta=99.44 gamma=90.00
Positions (direct):
1 Al 0.0000 0.0000 0.0000
2 Ga 0.0000 0.5000 0.5000
3 S 0.2130 0.0000 0.3385
4 S 0.3063 0.5000 0.9058
5 S 0.6937 0.5000 0.0942
6 S 0.7870 0.0000 0.6615

(3)
A relaxed structure of HfB6. Source: the Alexandria database, functional PBE-GGA.

Output
**Total moment**: 0.00 μB/cell
**D(E_F)**: 0.285 states/eV/atom
**Energy of formation from the pure elements**: 0.9 eV/f.u.
**Calculated density**: 6.89 Mg/m³

Unit cell a=4.2385 b=4.2385 c=4.2385 alpha=109.47 beta=109.47 gamma=109.47
Positions (direct):
1 Hf 0.0000 0.0000 0.0000
2 B 0.2500 0.5000 0.7500
3 B 0.2500 0.7500 0.5000
4 B 0.5000 0.2500 0.7500
5 B 0.5000 0.7500 0.2500
6 B 0.7500 0.2500 0.5000
7 B 0.7500 0.5000 0.2500

(4)
A relaxed structure of Zr3Cd3N. Source: the Alexandria database, functional PBE-GGA.

Output
**Total moment**: 0.00 μB/cell
**D(E_F)**: 0.853 states/eV/atom
**Raw formation energy**: -0.56 eV/atom
**Calculated density**: 7.85 Mg/m³

Unit cell a=9.0747 b=9.0747 c=9.0747 alpha=60.00 beta=60.00 gamma=60.00
Positions (direct):
1 Zr 0.0510 0.0510 0.6990
2 Zr 0.0510 0.6990 0.0510
3 Zr 0.0510 0.6990 0.6990
4 Zr 0.3010 0.3010 0.9490
5 Zr 0.3010 0.9490 0.3010
6 Zr 0.3010 0.9490 0.9490
7 Zr 0.6990 0.0510 0.0510
8 Zr 0.6990 0.0510 0.6990
9 Zr 0.6990 0.6990 0.0510
10 Zr 0.9490 0.3010 0.3010
11 Zr 0.9490 0.3010 0.9490
12 Zr 0.9490 0.9490 0.3010
13 Cd 0.0000 0.5000 0.5000
14 Cd 0.2884 0.2884 0.2884
15 Cd 0.2884 0.2884 0.6348
16 Cd 0.2884 0.6348 0.2884
17 Cd 0.3652 0.7116 0.7116
18 Cd 0.5000 0.0000 0.5000
19 Cd 0.5000 0.5000 0.0000
20 Cd 0.5000 0.5000 0.5000
21 Cd 0.6348 0.2884 0.2884
22 Cd 0.7116 0.3652 0.7116
23 Cd 0.7116 0.7116 0.3652
24 Cd 0.7116 0.7116 0.7116
25 N 0.0000 0.0000 0.0000
26 N 0.0000 0.0000 0.5000
27 N 0.0000 0.5000 0.0000
28 N 0.5000 0.0000 0.0000

(5)
A relaxed structure of AsWCl2. Source: the Alexandria database, functional PBE-GGA.

Output
**Total moment**: 0.00 μB/cell
**D(E_F)**: 0.611 states/eV/atom
**Raw formation energy**: 1.07 eV/atom
**Calculated density**: 8.21 Mg/m³

Unit cell a=4.5523 b=4.5523 c=4.5523 alpha=60.00 beta=60.00 gamma=60.00
Positions (direct):
1 As 0.0000 0.0000 0.0000
2 W 0.5000 0.5000 0.5000
3 Cl 0.2500 0.2500 0.2500
4 Cl 0.7500 0.7500 0.7500

(6)
A relaxed structure of Ca2NiCl. Source: the Alexandria database, functional PBE-GGA.

Output
**Total moment**: 0.00 μB/cell
**D(E_F)**: 0.403 states/eV/atom
**Raw formation energy**: -0.78 eV/atom
**Calculated density**: 3.20 Mg/m³

Unit cell a=3.4484 b=3.4484 c=7.6119 alpha=90.00 beta=90.00 gamma=90.00
Positions (direct):
1 Ca 0.0000 0.0000 0.2191
2 Ca 0.0000 0.0000 0.7809
3 Ni 0.5000 0.5000 0.0000
4 Cl 0.5000 0.5000 0.5000